*A*
First-principles (PBE-GGA) data for crystalline SrGeAu4 at its relaxed geometry, as listed in the Alexandria database.

Values from the calculation:
D(E_F) = 0.244 states/eV/atom
Total moment = 0.0 μB per formula unit
Symmetry = Cmcm

Unit cell a=5.198 b=7.254 c=7.749 alpha=90.00 beta=109.60 gamma=90.00
Element x y z (fractional)
Au 0.788 0.558 0.576
Au 0.000 0.000 0.000
Ge 0.126 0.750 0.252
Sr 0.606 0.250 0.212
Au 0.212 0.058 0.424
Sr 0.394 0.750 0.788
Au 0.615 0.750 0.230
Ge 0.874 0.250 0.748
Au 0.385 0.250 0.770
Au 0.788 0.942 0.576
Au 0.000 0.500 0.000
Au 0.212 0.442 0.424

=====

*B*
First-principles (PBE-GGA) data for crystalline SrGeAu4 at its relaxed geometry, as listed in the Alexandria database.

Values from the calculation:
D(E_F) = 0.370 states/eV/atom
Total moment = 0.0 μB per formula unit
Symmetry = F-43m

Unit cell a=5.686 b=5.686 c=5.686 alpha=60.00 beta=60.00 gamma=60.00
Element x y z (fractional)
Au 0.625 0.625 0.625
Au 0.625 0.625 0.124
Au 0.625 0.124 0.625
Sr 0.250 0.250 0.250
Ge 0.000 0.000 0.000
Au 0.124 0.625 0.625

=====

*C*
First-principles (PBE-GGA) data for crystalline SrGeAu4 at its relaxed geometry, as listed in the Alexandria database.

Values from the calculation:
D(E_F) = 0.369 states/eV/atom
Total moment = 0.0 μB per formula unit
Symmetry = Cmcm

Unit cell a=4.498 b=6.918 c=8.623 alpha=90.00 beta=105.12 gamma=90.00
Element x y z (fractional)
Sr 0.113 0.250 0.226
Sr 0.887 0.750 0.774
Au 0.673 0.951 0.346
Ge 0.765 0.250 0.529
Au 0.327 0.451 0.654
Au 0.500 0.500 0.000
Au 0.500 0.000 0.000
Ge 0.235 0.750 0.471
Au 0.327 0.049 0.654
Au 0.073 0.750 0.146
Au 0.927 0.250 0.854
Au 0.673 0.549 0.346

=====

Calculated relative energies: *A* 0.000; *B* 0.058; *C* 0.010, given in eV/atom

=====

*A*
First-principles (PBE-GGA) data for crystalline TbGe2Au at its relaxed geometry, as listed in the Alexandria database.

Values from the calculation:
D(E_F) = 0.512 states/eV/atom
Total moment = 0.0 μB per formula unit
Symmetry = R-3m

Unit cell a=5.155 b=5.155 c=4.706 alpha=56.79 beta=56.79 gamma=60.00
Element x y z (fractional)
Tb 0.500 0.500 0.500
Ge 0.763 0.763 0.711
Au 0.000 0.000 0.000
Ge 0.237 0.237 0.289

=====

*B*
First-principles (PBE-GGA) data for crystalline TbGe2Au at its relaxed geometry, as listed in the Alexandria database.

Values from the calculation:
D(E_F) = 0.378 states/eV/atom
Total moment = 0.0 μB per formula unit
Symmetry = P4/mmm

Unit cell a=4.134 b=4.419 c=4.419 alpha=90.00 beta=90.00 gamma=90.00
Element x y z (fractional)
Ge 0.000 0.500 0.000
Tb 0.500 0.500 0.500
Ge 0.000 0.000 0.500
Au 0.500 0.000 0.000

=====

Calculated relative energies: *A* 0.202; *B* 0.000, given in eV/atom

=====

*A*
First-principles (PBE-GGA) data for crystalline TcGeAu3 at its relaxed geometry, as listed in the Alexandria database.

Values from the calculation:
D(E_F) = 1.050 states/eV/atom
Total moment = 4.1 μB per formula unit
Symmetry = Pm-3m

Unit cell a=4.835 b=4.835 c=4.835 alpha=90.00 beta=90.00 gamma=90.00
Element x y z (fractional)
Au 0.000 0.500 0.000
Ge 0.000 0.000 0.000
Au 0.500 0.000 0.000
Au 0.000 0.000 0.500
Tc 0.500 0.500 0.500

=====

*B*
First-principles (PBE-GGA) data for crystalline TcGeAu3 at its relaxed geometry, as listed in the Alexandria database.

Values from the calculation:
D(E_F) = 0.921 states/eV/atom
Total moment = 1.8 μB per formula unit
Symmetry = Pm-3m

Unit cell a=5.031 b=5.031 c=5.031 alpha=90.00 beta=90.00 gamma=90.00
Element x y z (fractional)
Au 0.000 0.000 0.500
Au 0.000 0.500 0.000
Au 0.500 0.000 0.000
Tc 0.000 0.000 0.000
Ge 0.500 0.500 0.500

=====

Calculated relative energies: *A* 0.000; *B* 0.232, given in eV/atom

=====

*A*
First-principles (PBE-GGA) data for crystalline Tc2Ge2Au at its relaxed geometry, as listed in the Alexandria database.

Values from the calculation:
D(E_F) = 1.076 states/eV/atom
Total moment = 0.0 μB per formula unit
Symmetry = I4/mmm

Unit cell a=3.624 b=3.624 c=6.789 alpha=74.52 beta=74.52 gamma=90.00
Element x y z (fractional)
Ge 0.250 0.750 0.500
Tc 0.398 0.398 0.205
Tc 0.602 0.602 0.795
Ge 0.750 0.250 0.500
Au 0.000 0.000 0.000

=====

*B*
First-principles (PBE-GGA) data for crystalline Tc2Ge2Au at its relaxed geometry, as listed in the Alexandria database.

Values from the calculation:
D(E_F) = 0.927 states/eV/atom
Total moment = 0.0 μB per formula unit
Symmetry = P4/mbm

Unit cell a=7.114 b=7.114 c=3.157 alpha=90.00 beta=90.00 gamma=90.00
Element x y z (fractional)
Au 0.500 0.500 0.000
Tc 0.140 0.360 0.000
Au 0.000 0.000 0.000
Ge 0.154 0.654 0.500
Ge 0.654 0.846 0.500
Tc 0.360 0.860 0.000
Tc 0.860 0.640 0.000
Ge 0.846 0.346 0.500
Tc 0.640 0.140 0.000
Ge 0.346 0.154 0.500

=====

Calculated relative energies: *A* 0.200; *B* 0.000, given in eV/atom

=====

*A*
First-principles (PBE-GGA) data for crystalline Ge2TeAu2 at its relaxed geometry, as listed in the Alexandria database.

Values from the calculation:
D(E_F) = 0.301 states/eV/atom
Total moment = 0.0 μB per formula unit
Symmetry = C2/m

Unit cell a=4.689 b=4.689 c=5.514 alpha=104.04 beta=104.04 gamma=100.32
Element x y z (fractional)
Au 0.196 0.804 0.500
Te 0.000 0.000 0.000
Au 0.804 0.196 0.500
Ge 0.535 0.535 0.253
Ge 0.465 0.465 0.747

=====

*B*
First-principles (PBE-GGA) data for crystalline Ge2TeAu2 at its relaxed geometry, as listed in the Alexandria database.

Values from the calculation:
D(E_F) = 0.485 states/eV/atom
Total moment = 0.0 μB per formula unit
Symmetry = P4/mbm

Unit cell a=8.406 b=8.406 c=3.070 alpha=90.00 beta=90.00 gamma=90.00
Element x y z (fractional)
Ge 0.693 0.193 0.000
Ge 0.807 0.693 0.000
Te 0.000 0.000 0.000
Te 0.500 0.500 0.000
Ge 0.307 0.807 0.000
Au 0.116 0.616 0.500
Au 0.884 0.384 0.500
Au 0.384 0.116 0.500
Ge 0.193 0.307 0.000
Au 0.616 0.884 0.500

=====

Calculated relative energies: *A* 0.000; *B* 0.080, given in eV/atom

=====

*A*
First-principles (PBE-GGA) data for crystalline Ge2TeAu2 at its relaxed geometry, as listed in the Alexandria database.

Values from the calculation:
D(E_F) = 0.397 states/eV/atom
Total moment = 0.0 μB per formula unit
Symmetry = I4/mmm

Unit cell a=4.317 b=4.317 c=6.676 alpha=71.14 beta=71.14 gamma=90.00
Element x y z (fractional)
Ge 0.250 0.750 0.500
Au 0.384 0.384 0.232
Ge 0.750 0.250 0.500
Au 0.616 0.616 0.768
Te 0.000 0.000 0.000

=====

*B*
First-principles (PBE-GGA) data for crystalline Ge2TeAu2 at its relaxed geometry, as listed in the Alexandria database.

Values from the calculation:
D(E_F) = 0.592 states/eV/atom
Total moment = 0.0 μB per formula unit
Symmetry = P4/mbm

Unit cell a=7.625 b=7.625 c=3.695 alpha=90.00 beta=90.00 gamma=90.00
Element x y z (fractional)
Ge 0.347 0.153 0.500
Ge 0.847 0.347 0.500
Au 0.637 0.137 0.000
Te 0.000 0.000 0.000
Au 0.863 0.637 0.000
Te 0.500 0.500 0.000
Ge 0.153 0.653 0.500
Au 0.363 0.863 0.000
Ge 0.653 0.847 0.500
Au 0.137 0.363 0.000

=====

Calculated relative energies: *A* 0.000; *B* 0.028, given in eV/atom

=====

*A*
First-principles (PBE-GGA) data for crystalline GeTeAu2 at its relaxed geometry, as listed in the Alexandria database.

Values from the calculation:
D(E_F) = 0.066 states/eV/atom
Total moment = 0.0 μB per formula unit
Symmetry = Fm-3m

Unit cell a=4.939 b=4.939 c=4.939 alpha=60.00 beta=60.00 gamma=60.00
Element x y z (fractional)
Au 0.250 0.250 0.250
Ge 0.000 0.000 0.000
Te 0.500 0.500 0.500
Au 0.750 0.750 0.750

=====

*B*
First-principles (PBE-GGA) data for crystalline GeTeAu2 at its relaxed geometry, as listed in the Alexandria database.

Values from the calculation:
D(E_F) = 0.497 states/eV/atom
Total moment = 0.0 μB per formula unit
Symmetry = C2/m

Unit cell a=4.095 b=4.094 c=6.528 alpha=108.24 beta=108.26 gamma=60.14
Element x y z (fractional)
Te 0.298 0.481 0.920
Au 0.059 0.242 0.200
Ge 0.799 0.982 0.420
Au 0.539 0.721 0.640

=====

*C*
First-principles (PBE-GGA) data for crystalline GeTeAu2 at its relaxed geometry, as listed in the Alexandria database.

Values from the calculation:
D(E_F) = 0.501 states/eV/atom
Total moment = 0.0 μB per formula unit
Symmetry = R3m

Unit cell a=4.230 b=4.230 c=6.394 alpha=70.68 beta=70.68 gamma=60.00
Element x y z (fractional)
Te 0.500 0.500 0.501
Ge 0.668 0.668 0.997
Au 0.068 0.068 0.795
Au 0.264 0.264 0.207

=====

*D*
First-principles (PBE-GGA) data for crystalline GeTeAu2 at its relaxed geometry, as listed in the Alexandria database.

Values from the calculation:
D(E_F) = 0.568 states/eV/atom
Total moment = 0.0 μB per formula unit
Symmetry = I-42d

Unit cell a=6.796 b=6.796 c=6.584 alpha=58.93 beta=58.93 gamma=90.00
Element x y z (fractional)
Au 0.875 0.846 0.750
Au 0.154 0.625 0.250
Te 0.000 0.000 0.000
Te 0.750 0.250 0.500
Ge 0.500 0.500 0.000
Au 0.596 0.125 0.250
Ge 0.250 0.750 0.500
Au 0.375 0.404 0.750

=====

Calculated relative energies: *A* 0.185; *B* 0.000; *C* 0.052; *D* 0.081, given in eV/atom

=====

*A*
First-principles (PBE-GGA) data for crystalline GeTe3Au2 at its relaxed geometry, as listed in the Alexandria database.

Values from the calculation:
D(E_F) = 0.166 states/eV/atom
Total moment = 0.0 μB per formula unit
Symmetry = Cmc2_1

Unit cell a=7.343 b=7.709 c=7.709 alpha=119.96 beta=90.00 gamma=90.00
Element x y z (fractional)
Au 0.563 0.501 0.833
Au 0.563 0.833 0.501
Au 0.063 0.167 0.499
Te 0.419 0.831 0.831
Te 0.437 0.166 0.495
Te 0.437 0.495 0.166
Au 0.063 0.499 0.167
Ge 0.541 0.165 0.165
Te 0.937 0.505 0.834
Te 0.919 0.169 0.169
Te 0.937 0.834 0.505
Ge 0.041 0.835 0.835

=====

*B*
First-principles (PBE-GGA) data for crystalline GeTe3Au2 at its relaxed geometry, as listed in the Alexandria database.

Values from the calculation:
D(E_F) = 0.284 states/eV/atom
Total moment = 0.0 μB per formula unit
Symmetry = Imm2

Unit cell a=4.534 b=6.278 c=7.699 alpha=114.06 beta=107.12 gamma=90.00
Element x y z (fractional)
Te 0.000 0.006 0.000
Au 0.165 0.905 0.330
Ge 0.500 0.262 0.000
Te 0.667 0.665 0.335
Au 0.835 0.575 0.670
Te 0.333 0.330 0.665

=====

Calculated relative energies: *A* 0.020; *B* 0.000, given in eV/atom

=====

*A*
First-principles (PBE-GGA) data for crystalline GeTe2Au2 at its relaxed geometry, as listed in the Alexandria database.

Values from the calculation:
D(E_F) = 0.488 states/eV/atom
Total moment = 0.0 μB per formula unit
Symmetry = P4/mbm

Unit cell a=8.003 b=8.003 c=3.815 alpha=90.00 beta=90.00 gamma=90.00
Element x y z (fractional)
Te 0.188 0.312 0.000
Ge 0.500 0.500 0.000
Te 0.688 0.188 0.000
Au 0.124 0.624 0.500
Te 0.812 0.688 0.000
Ge 0.000 0.000 0.000
Te 0.312 0.812 0.000
Au 0.624 0.876 0.500
Au 0.376 0.124 0.500
Au 0.876 0.376 0.500

=====

*B*
First-principles (PBE-GGA) data for crystalline GeTe2Au2 at its relaxed geometry, as listed in the Alexandria database.

Values from the calculation:
D(E_F) = 0.383 states/eV/atom
Total moment = 0.0 μB per formula unit
Symmetry = P-1

Unit cell a=6.350 b=6.347 c=7.154 alpha=99.42 beta=99.41 gamma=112.51
Element x y z (fractional)
Au 0.748 0.251 0.750
Te 0.326 0.178 0.487
Au 0.631 0.366 0.249
Au 0.369 0.634 0.751
Ge 0.875 0.124 0.250
Au 0.252 0.749 0.250
Ge 0.125 0.876 0.750
Te 0.674 0.822 0.513
Te 0.822 0.673 0.013
Te 0.178 0.327 0.987

=====

Calculated relative energies: *A* 0.140; *B* 0.000, given in eV/atom

=====

*A*
First-principles (PBE-GGA) data for crystalline GeTe2Au2 at its relaxed geometry, as listed in the Alexandria database.

Values from the calculation:
D(E_F) = 0.726 states/eV/atom
Total moment = 0.0 μB per formula unit
Symmetry = P4/mbm

Unit cell a=7.709 b=7.709 c=3.954 alpha=90.00 beta=90.00 gamma=90.00
Element x y z (fractional)
Ge 0.500 0.500 0.000
Te 0.681 0.819 0.500
Te 0.819 0.319 0.500
Au 0.371 0.871 0.000
Au 0.629 0.129 0.000
Au 0.129 0.371 0.000
Ge 0.000 0.000 0.000
Te 0.181 0.681 0.500
Au 0.871 0.629 0.000
Te 0.319 0.181 0.500

=====

*B*
First-principles (PBE-GGA) data for crystalline GeTe2Au2 at its relaxed geometry, as listed in the Alexandria database.

Values from the calculation:
D(E_F) = 0.078 states/eV/atom
Total moment = 0.0 μB per formula unit
Symmetry = P2_1/c

Unit cell a=8.470 b=7.358 c=9.509 alpha=90.00 beta=86.24 gamma=90.00
Element x y z (fractional)
Ge 0.705 0.235 0.293
Te 0.960 0.241 0.094
Te 0.685 0.266 0.691
Te 0.185 0.234 0.691
Au 0.183 0.982 0.486
Au 0.089 0.560 0.176
Ge 0.795 0.735 0.707
Au 0.911 0.440 0.824
Te 0.315 0.734 0.309
Ge 0.295 0.765 0.707
Au 0.589 0.940 0.176
Au 0.683 0.518 0.486
Au 0.317 0.482 0.514
Te 0.460 0.259 0.094
Au 0.411 0.060 0.824
Te 0.040 0.759 0.906
Ge 0.205 0.265 0.293
Au 0.817 0.018 0.514
Te 0.540 0.741 0.906
Te 0.815 0.766 0.309

=====

Calculated relative energies: *A* 0.215; *B* 0.000, given in eV/atom

=====

*A*
First-principles (PBE-GGA) data for crystalline GeTeAu4 at its relaxed geometry, as listed in the Alexandria database.

Values from the calculation:
D(E_F) = 0.286 states/eV/atom
Total moment = 0.0 μB per formula unit
Symmetry = F-43m

Unit cell a=5.625 b=5.625 c=5.625 alpha=60.00 beta=60.00 gamma=60.00
Element x y z (fractional)
Au 0.625 0.124 0.625
Au 0.625 0.625 0.124
Te 0.250 0.250 0.250
Au 0.625 0.625 0.625
Ge 0.000 0.000 0.000
Au 0.124 0.625 0.625

=====

*B*
First-principles (PBE-GGA) data for crystalline GeTeAu4 at its relaxed geometry, as listed in the Alexandria database.

Values from the calculation:
D(E_F) = 0.386 states/eV/atom
Total moment = 0.0 μB per formula unit
Symmetry = C2/m

Unit cell a=6.324 b=7.227 c=6.751 alpha=122.36 beta=83.80 gamma=90.00
Element x y z (fractional)
Au 0.166 0.786 0.572
Au 0.423 0.181 0.773
Au 0.577 0.819 0.227
Au 0.423 0.591 0.773
Te 0.293 0.185 0.370
Te 0.707 0.815 0.630
Au 0.577 0.409 0.227
Ge 0.198 0.561 0.121
Au 0.000 0.804 0.000
Au 0.000 0.196 0.000
Ge 0.802 0.439 0.879
Au 0.834 0.214 0.428

=====

Calculated relative energies: *A* 0.068; *B* 0.000, given in eV/atom